Entry 1:
The following is a DFT calculation (GGA-PBE) of a relaxed structure of Ca3Ho.

* energy above the lowest structure with this stoichiometry: 24.1 meV per atom
* formation energy from the elements: 0.590 eV per formula unit

a = 5.3778 Å, b = 5.3778 Å, c = 5.3778 Å
α = 90.00°, β = 90.00°, γ = 90.00°
Atoms (fractional coordinates):
Ca1 0.0000 0.0000 0.5000
Ca2 0.0000 0.5000 0.0000
Ca3 0.5000 0.0000 0.0000
Ho1 0.5000 0.5000 0.5000

---

Entry 2:
The following is a DFT calculation (GGA-PBE) of a relaxed structure of NdGdFeCu.

* formation energy from the elements: 0.179 eV per formula unit

a = 6.9901 Å, b = 6.9901 Å, c = 6.9901 Å
α = 90.00°, β = 90.00°, γ = 90.00°
Atoms (fractional coordinates):
Nd1 0.0000 0.0000 0.0000
Nd2 0.0000 0.5000 0.5000
Nd3 0.5000 0.0000 0.5000
Nd4 0.5000 0.5000 0.0000
Gd1 0.0000 0.0000 0.5000
Gd2 0.0000 0.5000 0.0000
Gd3 0.5000 0.0000 0.0000
Gd4 0.5000 0.5000 0.5000
Fe1 0.2500 0.2500 0.2500
Fe2 0.2500 0.7500 0.7500
Fe3 0.7500 0.2500 0.7500
Fe4 0.7500 0.7500 0.2500
Cu1 0.2500 0.2500 0.7500
Cu2 0.2500 0.7500 0.2500
Cu3 0.7500 0.2500 0.2500
Cu4 0.7500 0.7500 0.7500

---

Entry 3:
The following is a DFT calculation (GGA-PBE) of a relaxed structure of Fe2HgAu.

* formation energy from the elements: 0.830 eV per formula unit

a = 3.0747 Å, b = 3.1151 Å, c = 6.6612 Å
α = 90.00°, β = 90.17°, γ = 90.00°
Atoms (fractional coordinates):
Fe1 0.0000 0.0000 0.0000
Fe2 0.4988 0.5000 0.1698
Hg1 0.4992 0.5000 0.7303
Au1 0.0001 0.0000 0.4198

---

Entry 4:
The following is a DFT calculation (GGA-PBE) of a relaxed structure of SrCu2AuN.

* energy above the lowest structure with this stoichiometry: 0.0 meV per atom
* raw formation energy: -173.5 meV/atom

a = 6.2003 Å, b = 6.2003 Å, c = 7.4628 Å
α = 90.00°, β = 90.00°, γ = 143.20°
Atoms (fractional coordinates):
Sr1 0.0381 0.9619 0.7500
Sr2 0.9619 0.0381 0.2500
Cu1 0.3469 0.6531 0.5589
Cu2 0.3469 0.6531 0.9411
Cu3 0.6531 0.3469 0.0589
Cu4 0.6531 0.3469 0.4411
Au1 0.2373 0.7627 0.2500
Au2 0.7627 0.2373 0.7500
N1 0.5000 0.5000 0.0000
N2 0.5000 0.5000 0.5000

---

Entry 5:
The following is a DFT calculation (GGA-PBE) of a relaxed structure of La6Tb2PrNd.

* formation energy from the elements: 1.823 eV per formula unit

a = 6.7374 Å, b = 6.7374 Å, c = 9.0162 Å
α = 100.73°, β = 100.73°, γ = 65.21°
Atoms (fractional coordinates):
La1 0.0980 0.5456 0.1998
La2 0.1384 0.1384 0.4359
La3 0.4544 0.9020 0.8002
La4 0.5456 0.0980 0.1998
La5 0.8616 0.8616 0.5641
La6 0.9020 0.4544 0.8002
Tb1 0.4068 0.4068 0.8420
Tb2 0.5932 0.5932 0.1580
Pr1 0.0000 0.0000 0.0000
Nd1 0.5000 0.5000 0.5000

---

Entry 6:
The following is a DFT calculation (GGA-PBE) of a relaxed structure of Ga4F.

* raw formation energy: -305.8 meV/atom

a = 4.6708 Å, b = 4.6708 Å, c = 4.6708 Å
α = 90.00°, β = 90.00°, γ = 90.00°
Atoms (fractional coordinates):
Ga1 0.0000 0.0000 0.0000
Ga2 0.0000 0.5000 0.5000
Ga3 0.5000 0.0000 0.5000
Ga4 0.5000 0.5000 0.0000
F1 0.5000 0.5000 0.5000